Entry 1:
Compound: TbAl2I8
Source: Alexandria via LeMat-Bulk
Functional: PBE
Structure: relaxed

Unit cell a=9.0210 b=9.0210 c=7.2591 alpha=96.76 beta=96.76 gamma=76.28
Element x y z (fractional)
Tb  0.0000  0.0000  0.0000
Al  0.1939  0.1939  0.6516
Al  0.8061  0.8061  0.3484
I  0.0840  0.7230  0.2304
I  0.1877  0.1877  0.2804
I  0.2770  0.9160  0.7696
I  0.3682  0.3682  0.7931
I  0.6318  0.6318  0.2069
I  0.7230  0.0840  0.2304
I  0.8123  0.8123  0.7196
I  0.9160  0.2770  0.7696

Output
- Symmetry: C2/m

Entry 2:
Compound: AlTc3I
Source: Alexandria via LeMat-Bulk
Functional: PBE
Structure: relaxed

Unit cell a=4.7841 b=4.7841 c=4.7841 alpha=90.00 beta=90.00 gamma=90.00
Element x y z (fractional)
Al  0.0000  0.0000  0.0000
Tc  0.0000  0.5000  0.5000
Tc  0.5000  0.0000  0.5000
Tc  0.5000  0.5000  0.0000
I  0.5000  0.5000  0.5000

Output
- Symmetry: Pm-3m
- Offset from the most stable computed form: 377 meV per atom

Entry 3:
Compound: AlTc3I
Source: Alexandria via LeMat-Bulk
Functional: PBE
Structure: relaxed

Unit cell a=4.5779 b=4.5779 c=4.5779 alpha=90.00 beta=90.00 gamma=90.00
Element x y z (fractional)
Al  0.0000  0.0000  0.0000
Tc  0.0000  0.0000  0.5000
Tc  0.0000  0.5000  0.0000
Tc  0.5000  0.0000  0.0000
I  0.5000  0.5000  0.5000

Output
- Symmetry: Pm-3m
- Offset from the most stable computed form: 0 meV per atom

Entry 4:
Compound: AlTcTe2I
Source: Alexandria via LeMat-Bulk
Functional: PBE
Structure: relaxed

Unit cell a=5.1636 b=5.1636 c=5.8776 alpha=90.00 beta=90.00 gamma=90.00
Element x y z (fractional)
Al  0.0000  0.0000  0.0000
Tc  0.5000  0.5000  0.5000
Te  0.0000  0.5000  0.5000
Te  0.5000  0.0000  0.5000
I  0.5000  0.5000  0.0000

Output
- Symmetry: P4/mmm
- Offset from the most stable computed form: 0 meV per atom

Number 1: N(E_F) 0.407 states/eV/atom, magnetization 0.46 μB per formula unit, uncorrected energy -33.284 eV per formula unit. Number 2: N(E_F) 1.163 states/eV/atom, magnetization 1.93 μB per formula unit, uncorrected energy -26.698 eV per formula unit. Number 3: N(E_F) 1.047 states/eV/atom, magnetization 1.08 μB per formula unit, uncorrected energy -28.584 eV per formula unit. Number 4: N(E_F) 0.759 states/eV/atom, magnetization 0.00 μB per formula unit, uncorrected energy -19.540 eV per formula unit.